No. 1
The following is a DFT calculation (PBE) of crystalline Lu3V5P12 at its relaxed geometry.

Cell lengths 12.7814, 12.7814, 12.7814 Å; angles 109.47, 109.47, 109.47 degrees
With the nearest neighbours (Å) after each atom.
Fractional positions:
Lu1 0.8750 0.7500 0.1250  8 P 2.78-2.99
P1 0.3981 0.1099 0.5794  2 V 2.25-2.42
P2 0.2882 0.8901 0.9694  2 V 2.25-2.42
P3 0.0306 0.6099 0.7118  2 V 2.25-2.42
P4 0.3981 0.2882 0.3187  2 V 2.25-2.42
P5 0.3901 0.4206 0.1019  2 V 2.25-2.42
P6 0.5306 0.2118 0.1099  2 V 2.25-2.42
P7 0.8901 0.2882 0.4694  2 V 2.25-2.42
P8 0.4694 0.7882 0.8901  2 V 2.25-2.42
P9 0.8981 0.0794 0.6099  2 V 2.25-2.42
Lu2 0.3750 0.7500 0.6250  8 P 2.78-2.99
Lu3 0.1250 0.2500 0.8750  8 P 2.78-2.99
Lu4 0.6250 0.3750 0.7500  8 P 2.78-2.99
P10 0.4206 0.3901 0.6019  2 V 2.25-2.42
P11 0.1099 0.3981 0.0794  2 V 2.25-2.42
Lu5 0.7500 0.8750 0.6250  8 P 2.78-2.99
Lu6 0.1250 0.8750 0.7500  8 P 2.78-2.99
P12 0.7118 0.6019 0.1813  2 V 2.25-2.42
V1 0.8750 0.6250 0.7500  4 P 2.25
P13 0.8901 0.6019 0.9206  2 V 2.25-2.42
Lu7 0.6250 0.2500 0.3750  8 P 2.78-2.99
P14 0.1099 0.7118 0.5306  2 V 2.25-2.42
P15 0.7118 0.1099 0.0306  2 V 2.25-2.42
P16 0.3187 0.7882 0.3981  2 V 2.25-2.42
P17 0.4694 0.6813 0.0794  2 V 2.25-2.42
P18 0.5794 0.6099 0.3981  2 V 2.25-2.42
V2 0.0000 0.0000 0.5000  6 P 2.42
P19 0.5794 0.9694 0.6813  2 V 2.25-2.42
V3 0.8750 0.2500 0.6250  4 P 2.25
P20 0.8187 0.9206 0.0306  2 V 2.25-2.42
P21 0.0306 0.4206 0.8187  2 V 2.25-2.42
P22 0.2882 0.3981 0.8187  2 V 2.25-2.42
P23 0.8981 0.8187 0.7882  2 V 2.25-2.42
P24 0.5306 0.3187 0.9206  2 V 2.25-2.42
P25 0.6813 0.4694 0.5794  2 V 2.25-2.42
P26 0.2118 0.5306 0.6099  2 V 2.25-2.42
V4 0.7500 0.6250 0.3750  4 P 2.25
V5 0.2500 0.3750 0.6250  4 P 2.25
P27 0.1019 0.1813 0.2118  2 V 2.25-2.42
V6 0.2500 0.8750 0.1250  4 P 2.25
V7 0.7500 0.1250 0.8750  4 P 2.25
P28 0.0794 0.1813 0.4694  2 V 2.25-2.42
V8 0.1250 0.3750 0.2500  4 P 2.25
Lu8 0.2500 0.6250 0.8750  8 P 2.78-2.99
V9 0.6250 0.7500 0.8750  4 P 2.25
P29 0.6813 0.2118 0.6019  2 V 2.25-2.42
P30 0.7882 0.4694 0.3901  2 V 2.25-2.42
V10 0.6250 0.8750 0.2500  4 P 2.25
P31 0.6099 0.0306 0.2118  2 V 2.25-2.42
P32 0.6019 0.7118 0.6813  2 V 2.25-2.42
P33 0.9694 0.5794 0.1813  2 V 2.25-2.42
V11 0.3750 0.1250 0.7500  4 P 2.25
V12 0.5000 0.5000 0.5000  6 P 2.42
P34 0.1813 0.0794 0.9694  2 V 2.25-2.42
P35 0.8187 0.8981 0.2882  2 V 2.25-2.42
Lu9 0.3750 0.6250 0.2500  8 P 2.78-2.99
P36 0.1019 0.9206 0.3901  2 V 2.25-2.42
P37 0.0794 0.8981 0.1099  2 V 2.25-2.42
V13 0.1250 0.7500 0.3750  4 P 2.25
P38 0.1813 0.1019 0.7118  2 V 2.25-2.42
V14 0.5000 0.0000 0.0000  6 P 2.42
V15 0.0000 0.5000 0.5000  6 P 2.42
P39 0.9206 0.8187 0.5306  2 V 2.25-2.42
V16 0.0000 0.0000 0.0000  6 P 2.42
Lu10 0.8750 0.1250 0.2500  8 P 2.78-2.99
V17 0.5000 0.5000 0.0000  6 P 2.42
P40 0.9694 0.3901 0.2882  2 V 2.25-2.42
P41 0.3901 0.9694 0.7882  2 V 2.25-2.42
P42 0.4206 0.0306 0.3187  2 V 2.25-2.42
Lu11 0.7500 0.3750 0.1250  8 P 2.78-2.99
V18 0.3750 0.2500 0.1250  4 P 2.25
P43 0.3187 0.5306 0.4206  2 V 2.25-2.42
P44 0.2118 0.6813 0.1019  2 V 2.25-2.42
P45 0.7882 0.3187 0.8981  2 V 2.25-2.42
V19 0.0000 0.5000 0.0000  6 P 2.42
V20 0.5000 0.0000 0.5000  6 P 2.42
P46 0.6019 0.8901 0.4206  2 V 2.25-2.42
P47 0.6099 0.5794 0.8981  2 V 2.25-2.42
Lu12 0.2500 0.1250 0.3750  8 P 2.78-2.99
P48 0.9206 0.1019 0.8901  2 V 2.25-2.42

Results
Space-group type   Ia-3d
Total DFT energy (no corrections)   -6.45 eV/atom

=====

No. 2
The following is a DFT calculation (PBE) of crystalline LuVP2 at its relaxed geometry.

Cell lengths 3.2872, 3.2872, 8.6933 Å; angles 79.10, 79.10, 60.00 degrees
With the nearest neighbours (Å) after each atom.
Fractional positions:
P1 0.1074 0.1074 0.6777  3 V 2.42
P2 0.8926 0.8926 0.3223  3 V 2.42
V1 0.5000 0.5000 0.5000  6 P 2.42
Lu1 0.0000 0.0000 0.0000  2 P 2.73

Results
Space-group type   R-3m
Total DFT energy (no corrections)   -6.34 eV/atom

=====

No. 3
The following is a DFT calculation (PBE) of crystalline LuZr2P at its relaxed geometry.

Cell lengths 3.5336, 3.5336, 9.4335 Å; angles 79.21, 79.21, 60.00 degrees
With the nearest neighbours (Å) after each atom.
Fractional positions:
P1 0.5000 0.5000 0.5000  6 Zr 2.53
Zr1 0.1127 0.1127 0.6618  3 P 2.53
Zr2 0.8873 0.8873 0.3382  3 P 2.53
Lu1 0.0000 0.0000 0.0000  2 Zr 3.11

Results
Space-group type   R-3m
Total DFT energy (no corrections)   -7.14 eV/atom

=====

No. 4
The following is a DFT calculation (PBE) of crystalline Lu5Pa at its relaxed geometry.

Cell lengths 3.5477, 5.6610, 9.0312 Å; angles 108.26, 90.00, 90.00 degrees
With the nearest neighbours (Å) after each atom.
Fractional positions:
Lu1 0.5000 0.1567 0.3134  2 Pa 3.22, 8 Lu 3.35-3.55
Lu2 0.5000 0.5000 0.0000  4 Pa 3.34, 6 Lu 3.46-3.55
Lu3 0.5000 0.8433 0.6866  2 Pa 3.22, 8 Lu 3.35-3.55
Lu4 0.0000 0.6735 0.3469  10 Lu 3.35-3.55
Lu5 0.0000 0.3265 0.6531  10 Lu 3.35-3.55
Pa1 0.0000 0.0000 0.0000  8 Lu 3.22-3.34, 2 Pa 3.55

Results
Space-group type   Cmmm
Total DFT energy (no corrections)   -5.14 eV/atom

=====

No. 5
The following is a DFT calculation (PBE) of crystalline Lu2Pa at its relaxed geometry.

Cell lengths 3.3614, 3.3613, 7.7348 Å; angles 102.54, 102.55, 90.00 degrees
With the nearest neighbours (Å) after each atom.
Fractional positions:
Pa1 0.5000 0.5000 0.0000  8 Lu 3.34, 4 Pa 3.36
Lu1 0.8401 0.8401 0.6806  4 Pa 3.34, 8 Lu 3.36-3.57
Lu2 0.1599 0.1599 0.3194  4 Pa 3.34, 8 Lu 3.36-3.57

Results
Space-group type   I4/mmm
Total DFT energy (no corrections)   -6.05 eV/atom

=====

No. 6
The following is a DFT calculation (PBE) of crystalline Lu2PaPb at its relaxed geometry.

Cell lengths 4.5411, 4.8346, 4.8346 Å; angles 90.00, 90.00, 90.00 degrees
With the nearest neighbours (Å) after each atom.
Fractional positions:
Lu1 0.0000 0.5000 0.0000  4 Pb 3.32, 4 Pa 3.32, 4 Lu 3.42
Lu2 0.0000 0.0000 0.5000  4 Pb 3.32, 4 Pa 3.32, 4 Lu 3.42
Pa1 0.5000 0.0000 0.0000  8 Lu 3.32, 4 Pb 3.42
Pb1 0.5000 0.5000 0.5000  8 Lu 3.32, 4 Pa 3.42

Results
Space-group type   P4/mmm
Energy above the most stable polymorph in this dataset   67 meV/atom

=====

No. 7
The following is a DFT calculation (PBE) of crystalline LuPa2Pb at its relaxed geometry.

Cell lengths 3.2361, 3.2361, 12.1084 Å; angles 82.32, 82.32, 60.00 degrees
With the nearest neighbours (Å) after each atom.
Fractional positions:
Pa1 0.0862 0.0862 0.7413  1 Lu 3.10, 6 Pa 3.24, 3 Pb 3.44
Pa2 0.9138 0.9138 0.2587  1 Lu 3.10, 6 Pa 3.24, 3 Pb 3.44
Lu1 0.0000 0.0000 0.0000  2 Pa 3.10, 6 Lu 3.24
Pb1 0.5000 0.5000 0.5000  6 Pb 3.24, 6 Pa 3.44

Results
Space-group type   R-3m
Total DFT energy (no corrections)   -6.51 eV/atom

=====

No. 8
The following is a DFT calculation (PBE) of crystalline Lu2PaPb at its relaxed geometry.

Cell lengths 3.4915, 3.4915, 8.9880 Å; angles 90.00, 90.00, 90.00 degrees
With the nearest neighbours (Å) after each atom.
Fractional positions:
Pb1 0.5000 0.5000 0.0000  8 Lu 3.31, 4 Pb 3.49
Lu1 0.0000 0.0000 0.7552  4 Pb 3.31, 4 Pa 3.37, 4 Lu 3.49
Pa1 0.5000 0.5000 0.5000  8 Lu 3.37, 4 Pa 3.49
Lu2 0.0000 0.0000 0.2448  4 Pb 3.31, 4 Pa 3.37, 4 Lu 3.49

Results
Space-group type   P4/mmm
Energy above the most stable polymorph in this dataset   12 meV/atom

=====

No. 9
The following is a DFT calculation (PBE) of crystalline Lu2PaPb at its relaxed geometry.

Cell lengths 3.4226, 3.4226, 10.9364 Å; angles 81.00, 81.00, 60.00 degrees
With the nearest neighbours (Å) after each atom.
Fractional positions:
Pa1 0.5000 0.5000 0.5000  6 Lu 3.34, 6 Pa 3.42
Pb1 0.0000 0.0000 0.0000  6 Lu 3.34, 6 Pb 3.42
Lu1 0.2499 0.2499 0.2502  3 Pa 3.34, 3 Pb 3.34, 6 Lu 3.42
Lu2 0.7501 0.7501 0.7498  3 Pa 3.34, 3 Pb 3.34, 6 Lu 3.42

Results
Space-group type   R-3m
Energy above the most stable polymorph in this dataset   0 meV/atom

=====

No. 10
The following is a DFT calculation (PBE) of crystalline PmLuPaPb at its relaxed geometry.

Cell lengths 5.4050, 5.4050, 5.4050 Å; angles 60.00, 60.00, 60.00 degrees
With the nearest neighbours (Å) after each atom.
Fractional positions:
Pa1 0.5000 0.5000 0.5000  4 Lu 3.31, 4 Pm 3.31
Pb1 0.0000 0.0000 0.0000  4 Pm 3.31, 4 Lu 3.31
Lu1 0.7500 0.7500 0.7500  4 Pa 3.31, 4 Pb 3.31
Pm1 0.2500 0.2500 0.2500  4 Pb 3.31, 4 Pa 3.31

Results
Space-group type   F-43m
Total DFT energy (no corrections)   -5.44 eV/atom

=====

No. 11
The following is a DFT calculation (PBE) of crystalline LuThPaPb at its relaxed geometry.

Cell lengths 5.4350, 5.4350, 5.4350 Å; angles 60.00, 60.00, 60.00 degrees
With the nearest neighbours (Å) after each atom.
Fractional positions:
Pa1 0.0000 0.0000 0.0000  4 Lu 3.33, 4 Th 3.33
Th1 0.7500 0.7500 0.7500  4 Pa 3.33, 4 Pb 3.33
Lu1 0.2500 0.2500 0.2500  4 Pb 3.33, 4 Pa 3.33
Pb1 0.5000 0.5000 0.5000  4 Th 3.33, 4 Lu 3.33

Results
Space-group type   F-43m
Total DFT energy (no corrections)   -6.08 eV/atom

=====

No. 12
The following is a DFT calculation (PBE) of crystalline LuPaTlPb at its relaxed geometry.

Cell lengths 5.3592, 5.3592, 5.3592 Å; angles 60.00, 60.00, 60.00 degrees
With the nearest neighbours (Å) after each atom.
Fractional positions:
Tl1 0.0000 0.0000 0.0000  4 Pa 3.28, 4 Lu 3.28
Pa1 0.2500 0.2500 0.2500  4 Pb 3.28, 4 Tl 3.28
Lu1 0.7500 0.7500 0.7500  4 Tl 3.28, 4 Pb 3.28
Pb1 0.5000 0.5000 0.5000  4 Lu 3.28, 4 Pa 3.28

Results
Space-group type   F-43m
Total DFT energy (no corrections)   -4.98 eV/atom

=====

| no. | D(E_F) (states/eV/f.u.) | total magnetization (μB per cell) | density (g cm⁻³) |
| --- | --- | --- | --- |
| 1 | 19.15 | 8.672 | 4.76 |
| 2 | 3.27 | 0.000 | 6.02 |
| 3 | 3.47 | 0.001 | 6.48 |
| 4 | 12.02 | 0.003 | 10.66 |
| 5 | 5.39 | 0.146 | 11.60 |
| 6 | 5.78 | 0.004 | 12.33 |
| 7 | 7.50 | 0.000 | 12.92 |
| 8 | 6.33 | 0.309 | 11.94 |
| 9 | 4.13 | 0.000 | 11.99 |
| 10 | 7.57 | 1.288 | 11.28 |
| 11 | 6.50 | 1.968 | 12.36 |
| 12 | 7.53 | 1.872 | 12.47 |